No. 1
{"formula": "Nd5Sn2Sb2", "functional": "PBE", "state": "optimized geometry", "final_energy_ev_per_cell": -97.26, "space_group": "Cmce (64)", "de_polymorph_kj_per_mol_atoms": 0.0, "lattice": [[8.4354, 0.0000, 0.0000], [0.0000, 7.4542, -3.8320], [0.0000, -0.0848, 9.0014]], "species": ["Nd", "Nd", "Nd", "Nd", "Nd", "Nd", "Nd", "Nd", "Nd", "Nd", "Sn", "Sn", "Sn", "Sn", "Sb", "Sb", "Sb", "Sb"], "fractional_positions": [[0.0000, 0.0000, 0.0000], [0.5000, 0.5000, 0.0000], [0.8331, 0.8080, 0.2738], [0.1669, 0.4658, 0.2738], [0.3331, 0.9658, 0.2738], [0.6669, 0.3080, 0.2738], [0.1669, 0.1920, 0.7262], [0.8331, 0.5342, 0.7262], [0.6669, 0.0342, 0.7262], [0.3331, 0.6920, 0.7262], [0.6302, 0.8702, 0.0000], [0.3698, 0.1298, 0.0000], [0.1302, 0.6298, 0.0000], [0.8698, 0.3702, 0.0000], [0.0000, 0.2028, 0.4056], [0.5000, 0.7028, 0.4056], [0.0000, 0.7972, 0.5944], [0.5000, 0.2972, 0.5944]]}

No. 2
{"formula": "Nd3SnSb", "functional": "PBE", "state": "optimized geometry", "final_energy_ev_per_cell": -51.87, "space_group": "P2_1/m (11)", "lattice": [[-1.1435, 3.8096, 2.0274], [-8.0910, -4.4526, -6.0260], [0.0984, 0.0252, 9.8393]], "species": ["Nd", "Nd", "Nd", "Nd", "Nd", "Nd", "Sn", "Sn", "Sb", "Sb"], "fractional_positions": [[0.0632, 0.3740, 0.5608], [0.5536, 0.3526, 0.0490], [0.0729, 0.9947, 0.1719], [0.9368, 0.6260, 0.4392], [0.9271, 0.0053, 0.8281], [0.4464, 0.6474, 0.9510], [0.2461, 0.7488, 0.7529], [0.7539, 0.2512, 0.2471], [0.2791, 0.2910, 0.7620], [0.7209, 0.7090, 0.2380]]}

Number 1: D(E_F) 15.6 states/eV per cell. Number 2: D(E_F) 7.7 states/eV per cell.